The following is a DFT calculation (PBE) of an optimized crystal structure of FeMoPW2.

Cell lengths 4.7414, 4.7414, 4.5074 Å; angles 90.00, 90.00, 90.00 degrees
Space group P4/mmm (No. 123)
Inequivalent atoms, fractional coordinates:
Fe: 0.0000 0.0000 0.0000 x1
Mo: 0.0000 0.0000 0.5000 x1
P: 0.5000 0.5000 0.0000 x1
W: 0.0000 0.5000 0.5000 x2

Summary:
- ΔE_f (eV/atom) = 2.15
- Fermi-level density of states (states/eV/atom) = 1.16

---

The following is a DFT calculation (PBE) of an optimized crystal structure of Ba2LaThAs4.

Cell lengths 7.7813, 4.4764, 7.9807 Å; angles 90.00, 108.90, 90.00 degrees
Space group P2/m (No. 10)
Inequivalent atoms, fractional coordinates:
Ba: 0.0000 0.0000 0.0000 x1
Ba: 0.5000 0.5000 0.0000 x1
La: 0.0000 0.5000 0.5000 x1
Th: 0.5000 0.0000 0.5000 x1
As: 0.2459 0.0000 0.7164 x2
As: 0.2688 0.5000 0.2857 x2

Summary:
- ΔE_f (eV/atom) = -1.25
- Fermi-level density of states (states/eV/atom) = 1.12